Record 1
NaTb3Hg12: optimized geometry, PBE-GGA.

Cell: 4.5861 4.5861 18.7431 Å, 90.00 90.00 90.00°
Element x y z (fractional)
Na  0.0000  0.0000  0.0000
Tb  0.0000  0.0000  0.2452
Tb  0.0000  0.0000  0.5000
Tb  0.0000  0.0000  0.7548
Hg  0.0000  0.5000  0.1261
Hg  0.0000  0.5000  0.3752
Hg  0.0000  0.5000  0.6248
Hg  0.0000  0.5000  0.8739
Hg  0.5000  0.0000  0.1261
Hg  0.5000  0.0000  0.3752
Hg  0.5000  0.0000  0.6248
Hg  0.5000  0.0000  0.8739
Hg  0.5000  0.5000  0.0000
Hg  0.5000  0.5000  0.2529
Hg  0.5000  0.5000  0.5000
Hg  0.5000  0.5000  0.7471

Calculated values
energy: -0.108 Ry/atom
energy relative to the elements: -0.2909 eV per atom
crystal system: tetragonal

=====

Record 2
Na2TbHg5: optimized geometry, PBE-GGA.

Cell: 9.6116 9.6116 9.6116 Å, 151.80 151.80 40.30°
Element x y z (fractional)
Na  0.2501  0.2501  0.0000
Na  0.7499  0.7499  0.0000
Tb  0.0000  0.0000  0.0000
Hg  0.1261  0.6261  0.5000
Hg  0.3739  0.8739  0.5000
Hg  0.5000  0.5000  0.0000
Hg  0.6261  0.1261  0.5000
Hg  0.8739  0.3739  0.5000

Calculated values
energy: -0.101 Ry/atom
energy relative to the elements: -0.2705 eV per atom
crystal system: tetragonal

=====

Record 3
Na2Tb2Hg7: optimized geometry, PBE-GGA.

Cell: 7.3740 7.3740 5.9090 Å, 90.00 90.00 96.85°
Element x y z (fractional)
Na  0.2374  0.7626  0.0000
Na  0.7626  0.2374  0.0000
Tb  0.3094  0.3094  0.5000
Tb  0.6906  0.6906  0.5000
Hg  0.0000  0.0000  0.2541
Hg  0.0000  0.0000  0.7459
Hg  0.0000  0.5000  0.2531
Hg  0.0000  0.5000  0.7469
Hg  0.5000  0.0000  0.2531
Hg  0.5000  0.0000  0.7469
Hg  0.5000  0.5000  0.0000

Calculated values
energy: -0.097 Ry/atom
energy relative to the elements: -0.0478 eV per atom
crystal system: orthorhombic

=====

Record 4
Na2TbHg: optimized geometry, PBE-GGA.

Cell: 12.0239 12.0239 12.0239 Å, 16.43 16.43 16.43°
Element x y z (fractional)
Na  0.0948  0.0948  0.0948
Na  0.9052  0.9052  0.9052
Tb  0.0000  0.0000  0.0000
Hg  0.5000  0.5000  0.5000

Calculated values
energy: -0.132 Ry/atom
energy relative to the elements: 0.1000 eV per atom
crystal system: trigonal

=====

Record 5
NaTb2Hg9: optimized geometry, PBE-GGA.

Cell: 4.6120 4.6120 13.9187 Å, 90.00 90.00 90.00°
Element x y z (fractional)
Na  0.0000  0.0000  0.0000
Tb  0.0000  0.0000  0.3296
Tb  0.0000  0.0000  0.6704
Hg  0.0000  0.5000  0.1678
Hg  0.0000  0.5000  0.5000
Hg  0.0000  0.5000  0.8322
Hg  0.5000  0.0000  0.1678
Hg  0.5000  0.0000  0.5000
Hg  0.5000  0.0000  0.8322
Hg  0.5000  0.5000  0.0000
Hg  0.5000  0.5000  0.3367
Hg  0.5000  0.5000  0.6633

Calculated values
energy: -0.102 Ry/atom
energy relative to the elements: -0.2812 eV per atom
crystal system: tetragonal

=====

Record 6
NaTbTlHg: optimized geometry, PBE-GGA.

Cell: 5.2594 5.2594 5.2594 Å, 60.00 60.00 60.00°
Element x y z (fractional)
Na  0.0000  0.0000  0.0000
Tb  0.5000  0.5000  0.5000
Tl  0.2500  0.2500  0.2500
Hg  0.7500  0.7500  0.7500

Calculated values
energy: -0.179 Ry/atom
energy relative to the elements: -0.2875 eV per atom
crystal system: cubic
energy above the lowest structure with this stoichiometry: 0 meV/atom

=====

Record 7
NaTbTlHg: optimized geometry, PBE-GGA.

Cell: 3.7477 3.7477 7.5893 Å, 90.00 90.00 90.00°
Element x y z (fractional)
Na  0.0000  0.0000  0.0000
Tb  0.0000  0.0000  0.5178
Tl  0.5000  0.5000  0.2567
Hg  0.5000  0.5000  0.7514

Calculated values
energy: -0.178 Ry/atom
energy relative to the elements: -0.2731 eV per atom
crystal system: tetragonal
energy above the lowest structure with this stoichiometry: 14 meV/atom

=====

Record 8
NaTbZnHg: optimized geometry, PBE-GGA.

Cell: 5.0902 5.0902 5.0902 Å, 60.00 60.00 60.00°
Element x y z (fractional)
Na  0.0000  0.0000  0.0000
Tb  0.5000  0.5000  0.5000
Zn  0.7500  0.7500  0.7500
Hg  0.2500  0.2500  0.2500

Calculated values
energy: -0.153 Ry/atom
energy relative to the elements: -0.2058 eV per atom
crystal system: cubic

=====

Record 9
Na2TcHg: optimized geometry, PBE-GGA.

Cell: 6.5201 6.5201 6.5201 Å, 100.80 100.80 128.70°
Element x y z (fractional)
Na  0.1163  0.6250  0.9913
Na  0.3750  0.3663  0.4913
Na  0.6337  0.1250  0.0087
Na  0.8750  0.8837  0.5087
Tc  0.2500  0.7500  0.5000
Tc  0.5000  0.5000  0.0000
Hg  0.0000  0.0000  0.0000
Hg  0.7500  0.2500  0.5000

Calculated values
energy: -0.182 Ry/atom
energy relative to the elements: 0.8559 eV per atom
crystal system: tetragonal

=====

Record 10
NaTcHg3: optimized geometry, PBE-GGA.

Cell: 5.3263 5.3263 5.3263 Å, 90.00 90.00 90.00°
Element x y z (fractional)
Na  0.0000  0.0000  0.0000
Tc  0.5000  0.5000  0.5000
Hg  0.0000  0.5000  0.5000
Hg  0.5000  0.0000  0.5000
Hg  0.5000  0.5000  0.0000

Calculated values
energy: -0.154 Ry/atom
energy relative to the elements: 0.4231 eV per atom
crystal system: cubic
energy above the lowest structure with this stoichiometry: 0 meV/atom

=====

Record 11
NaTiTcHg2: optimized geometry, PBE-GGA.

Cell: 5.1983 5.1983 5.2928 Å, 90.00 90.00 90.00°
Element x y z (fractional)
Na  0.0000  0.0000  0.0000
Ti  0.0000  0.0000  0.5000
Tc  0.5000  0.5000  0.0000
Hg  0.0000  0.5000  0.5000
Hg  0.5000  0.0000  0.5000

Calculated values
energy: -0.187 Ry/atom
energy relative to the elements: 1.4968 eV per atom
crystal system: tetragonal

=====

Record 12
NaZn2TcHg: optimized geometry, PBE-GGA.

Cell: 5.0104 5.0104 5.3922 Å, 90.00 90.00 90.00°
Element x y z (fractional)
Na  0.0000  0.0000  0.0000
Zn  0.0000  0.5000  0.5000
Zn  0.5000  0.0000  0.5000
Tc  0.5000  0.5000  0.0000
Hg  0.5000  0.5000  0.5000

Calculated values
energy: -0.143 Ry/atom
energy relative to the elements: 0.9630 eV per atom
crystal system: tetragonal

=====

Record 13
Na2HgTe: optimized geometry, PBE-GGA.

Cell: 5.3792 5.3792 3.8706 Å, 90.00 90.00 90.00°
Element x y z (fractional)
Na  0.0000  0.5000  0.0000
Na  0.5000  0.0000  0.0000
Hg  0.0000  0.0000  0.5000
Te  0.5000  0.5000  0.5000

Calculated values
energy: -0.152 Ry/atom
energy relative to the elements, uncorrected: -550 meV per atom
crystal system: tetragonal
energy above the lowest structure with this stoichiometry: 106 meV/atom

=====

Record 14
Na2HgTe2: optimized geometry, PBE-GGA.

Cell: 8.6556 8.6556 8.6556 Å, 149.26 149.26 44.03°
Element x y z (fractional)
Na  0.1119  0.1119  0.0000
Na  0.8881  0.8881  0.0000
Hg  0.5000  0.5000  0.0000
Te  0.2500  0.7500  0.5000
Te  0.7500  0.2500  0.5000

Calculated values
energy: -0.159 Ry/atom
energy relative to the elements, uncorrected: -313 meV per atom
crystal system: tetragonal
energy above the lowest structure with this stoichiometry: 282 meV/atom

=====

Record 15
Na2HgTe: optimized geometry, PBE-GGA.

Cell: 5.4141 5.4141 5.4141 Å, 60.00 60.00 60.00°
Element x y z (fractional)
Na  0.2500  0.2500  0.2500
Na  0.7500  0.7500  0.7500
Hg  0.0000  0.0000  0.0000
Te  0.5000  0.5000  0.5000

Calculated values
energy: -0.160 Ry/atom
energy relative to the elements, uncorrected: -656 meV per atom
crystal system: cubic
energy above the lowest structure with this stoichiometry: 0 meV/atom

=====

Record 16
Na2Hg2Te: optimized geometry, PBE-GGA.

Cell: 6.3949 6.3949 6.3949 Å, 127.78 127.78 76.98°
Element x y z (fractional)
Na  0.2500  0.7500  0.5000
Na  0.7500  0.2500  0.5000
Hg  0.1428  0.1428  0.0000
Hg  0.8572  0.8572  0.0000
Te  0.5000  0.5000  0.0000

Calculated values
energy: -0.114 Ry/atom
energy relative to the elements, uncorrected: -275 meV per atom
crystal system: tetragonal
energy above the lowest structure with this stoichiometry: 85 meV/atom

=====

Record 17
Na2HgTe: optimized geometry, PBE-GGA.

Cell: 7.5682 8.6630 11.1235 Å, 90.00 132.79 90.00°
Element x y z (fractional)
Na  0.1600  0.1472  0.1690
Na  0.1600  0.3528  0.6690
Na  0.3222  0.6457  0.3286
Na  0.3222  0.8543  0.8286
Na  0.6778  0.1457  0.1714
Na  0.6778  0.3543  0.6714
Na  0.8400  0.6472  0.3310
Na  0.8400  0.8528  0.8310
Hg  0.2913  0.5175  0.0342
Hg  0.2913  0.9825  0.5342
Hg  0.7087  0.0175  0.4658
Hg  0.7087  0.4825  0.9658
Te  0.1277  0.1445  0.8779
Te  0.1277  0.3555  0.3779
Te  0.8723  0.6445  0.6221
Te  0.8723  0.8555  0.1221

Calculated values
energy: -0.158 Ry/atom
energy relative to the elements, uncorrected: -633 meV per atom
crystal system: monoclinic
energy above the lowest structure with this stoichiometry: 23 meV/atom

=====

Record 18
Na2HgTe: optimized geometry, PBE-GGA.

Cell: 3.9439 3.9439 7.6957 Å, 90.00 90.00 90.00°
Element x y z (fractional)
Na  0.0000  0.0000  0.2125
Na  0.0000  0.0000  0.7875
Hg  0.5000  0.5000  0.5000
Te  0.5000  0.5000  0.0000

Calculated values
energy: -0.147 Ry/atom
energy relative to the elements, uncorrected: -479 meV per atom
crystal system: tetragonal
energy above the lowest structure with this stoichiometry: 177 meV/atom

=====

Record 19
NaHg2Te: optimized geometry, PBE-GGA.

Cell: 4.4398 4.4398 5.4437 Å, 90.00 90.00 90.00°
Element x y z (fractional)
Na  0.0000  0.0000  0.0000
Hg  0.0000  0.5000  0.5000
Hg  0.5000  0.0000  0.5000
Te  0.5000  0.5000  0.0000

Calculated values
energy: -0.111 Ry/atom
energy relative to the elements, uncorrected: -250 meV per atom
crystal system: tetragonal

=====

Record 20
NaHgTe: optimized geometry, PBE-GGA.

Cell: 5.2356 5.2356 6.8257 Å, 90.00 90.00 112.46°
Element x y z (fractional)
Na  0.1633  0.8367  0.7500
Na  0.8367  0.1633  0.2500
Hg  0.5000  0.5000  0.0000
Hg  0.5000  0.5000  0.5000
Te  0.1999  0.8001  0.2500
Te  0.8001  0.1999  0.7500

Calculated values
energy: -0.142 Ry/atom
energy relative to the elements, uncorrected: -342 meV per atom
crystal system: orthorhombic
energy above the lowest structure with this stoichiometry: 33 meV/atom